No. 1
! PBE La6Nd4Mg, optimized geometry; values from VASP
! formation energy from the elements: 2.2 eV per formula unit
&SYSTEM
  ibrav = 0, nat = 11, ntyp = 3
/
ATOMIC_SPECIES
La 138.91 La.upf
Nd 144.24 Nd.upf
Mg 24.30 Mg.upf
ATOMIC_POSITIONS crystal
La 0.000 0.500 0.500
La 0.225 0.225 0.681
La 0.457 0.775 0.000
La 0.500 0.000 0.500
La 0.543 0.543 0.319
La 0.775 0.457 0.000
Nd 0.005 0.005 0.643
Nd 0.362 0.362 0.357
Nd 0.638 0.995 0.000
Nd 0.995 0.638 0.000
Mg 0.000 0.000 0.000
CELL_PARAMETERS angstrom
-3.373 3.373 8.449
3.373 -3.373 8.449
3.373 3.373 -8.449

=====

No. 2
! PBE La12Nd5Mg, optimized geometry; values from VASP
! formation energy from the elements: 0.2 eV per formula unit
&SYSTEM
  ibrav = 0, nat = 18, ntyp = 3
/
ATOMIC_SPECIES
La 138.91 La.upf
Nd 144.24 Nd.upf
Mg 24.30 Mg.upf
ATOMIC_POSITIONS crystal
La 0.000 0.169 0.000
La 0.000 0.831 0.000
La 0.168 0.000 0.666
La 0.168 0.666 0.666
La 0.335 0.499 0.332
La 0.335 0.833 0.332
La 0.499 0.663 0.000
La 0.501 0.337 0.000
La 0.665 0.167 0.668
La 0.665 0.501 0.668
La 0.832 0.000 0.334
La 0.832 0.334 0.334
Nd 0.164 0.334 0.667
Nd 0.331 0.167 0.334
Nd 0.500 0.000 0.000
Nd 0.669 0.833 0.666
Nd 0.836 0.666 0.333
Mg 0.000 0.500 0.000
CELL_PARAMETERS angstrom
6.409 0.000 0.000
-0.003 11.062 0.000
-3.167 -5.526 9.062

=====

> Which of these has the lowest formation energy from the elements?

La12Nd5Mg

=====

> formation energy from the elements of number 1 (La6Nd4Mg)?

2.2 eV per formula unit

=====

> Among the records above, which one has the lowest formation energy from the elements?

La12Nd5Mg